Record 1
First-principles (GGA-PBEsol) data for a relaxed structure of Mo2WSe2S4, as listed in Alexandria.

Energy relative to the elements, uncorrected ... -827 meV per atom
ρ ... 6.34 g/cm³
Crystal system ... hexagonal
Total moment ... 0.0 μB per cell
VASP energy ... -7.78 eV/atom

Unit cell a=3.1815 b=3.1815 c=19.7821 alpha=90.00 beta=90.00 gamma=120.00
Closest atoms and distances in Å follow each position.
Element x y z (fractional)
Mo1 0.0000 0.0000 0.1764  6 S 2.40
Mo2 0.0000 0.0000 0.8236  6 S 2.40
W1 0.6667 0.3333 0.5000  6 Se 2.51
Se1 0.0000 0.0000 0.4134  3 W 2.51
Se2 0.0000 0.0000 0.5866  3 W 2.51
S1 0.6667 0.3333 0.0985  3 Mo 2.40
S2 0.6667 0.3333 0.2545  3 Mo 2.40
S3 0.6667 0.3333 0.7455  3 Mo 2.40
S4 0.6667 0.3333 0.9015  3 Mo 2.40



Record 2
First-principles (GGA-PBEsol) data for a relaxed structure of SbSeI3F6, as listed in Alexandria.

Energy relative to the elements, uncorrected ... -1467 meV per atom
ρ ... 4.21 g/cm³
Crystal system ... monoclinic
Total moment ... 0.0 μB per cell
VASP energy ... -3.76 eV/atom

Unit cell a=8.5655 b=10.2610 c=12.6109 alpha=90.00 beta=97.77 gamma=90.00
Closest atoms and distances in Å follow each position.
Element x y z (fractional)
Sb1 0.1952 0.2162 0.0725  6 F 1.90-1.93
Sb2 0.1952 0.2838 0.5725  6 F 1.90-1.93
Sb3 0.8048 0.7162 0.4275  6 F 1.90-1.93
Sb4 0.8048 0.7838 0.9275  6 F 1.90-1.93
Se1 0.1975 0.6885 0.7091  3 I 2.52-2.53, 1 F 2.81
Se2 0.1975 0.8115 0.2091  3 I 2.52-2.53, 1 F 2.81
Se3 0.8025 0.1885 0.7909  3 I 2.52-2.53, 1 F 2.81
Se4 0.8025 0.3115 0.2909  3 I 2.52-2.53, 1 F 2.81
I1 0.2194 0.5828 0.2820  1 Se 2.52
I2 0.2194 0.9172 0.7820  1 Se 2.52
I3 0.2568 0.5441 0.8717  1 Se 2.52, 1 F 2.68
I4 0.2568 0.9559 0.3717  1 Se 2.52, 1 F 2.68
I5 0.4438 0.6721 0.6192  1 Se 2.53, 1 F 2.71
I6 0.4438 0.8279 0.1192  1 Se 2.53, 1 F 2.71
I7 0.5562 0.1721 0.8808  1 Se 2.53, 1 F 2.71
I8 0.5562 0.3279 0.3808  1 Se 2.53, 1 F 2.71
I9 0.7432 0.0441 0.6283  1 Se 2.52, 1 F 2.68
I10 0.7432 0.4559 0.1283  1 Se 2.52, 1 F 2.68
I11 0.7806 0.0828 0.2180  1 Se 2.52
I12 0.7806 0.4172 0.7180  1 Se 2.52
F1 0.0009 0.7408 0.0102  1 Sb 1.91
F2 0.0009 0.7592 0.5102  1 Sb 1.91
F3 0.1194 0.0464 0.1004  1 Sb 1.91
F4 0.1194 0.4536 0.6004  1 Sb 1.91
F5 0.1231 0.2160 0.6982  1 Sb 1.91
F6 0.1231 0.2840 0.1982  1 Sb 1.91
F7 0.2669 0.1501 0.9439  1 Sb 1.93
F8 0.2669 0.3499 0.4439  1 Sb 1.93
F9 0.2762 0.1151 0.5413  1 Sb 1.93
F10 0.2762 0.3849 0.0413  1 Sb 1.93
F11 0.3954 0.1753 0.1491  1 Sb 1.90
F12 0.3954 0.3247 0.6491  1 Sb 1.90
F13 0.6046 0.6753 0.3509  1 Sb 1.90
F14 0.6046 0.8247 0.8509  1 Sb 1.90
F15 0.7238 0.6151 0.9587  1 Sb 1.93
F16 0.7238 0.8849 0.4587  1 Sb 1.93
F17 0.7331 0.6501 0.5561  1 Sb 1.93
F18 0.7331 0.8499 0.0561  1 Sb 1.93
F19 0.8769 0.7160 0.8018  1 Sb 1.91
F20 0.8769 0.7840 0.3018  1 Sb 1.91
F21 0.8806 0.5464 0.3996  1 Sb 1.91
F22 0.8806 0.9536 0.8996  1 Sb 1.91
F23 0.9991 0.2408 0.4898  1 Sb 1.91
F24 0.9991 0.2592 0.9898  1 Sb 1.91



Record 3
First-principles (GGA-PBEsol) data for a relaxed structure of Sr7Mn4O15, as listed in Alexandria.

Energy relative to the elements, uncorrected ... -2463 meV per atom
ρ ... 5.32 g/cm³
Crystal system ... monoclinic
Total moment ... 24.0 μB per cell
VASP energy ... -7.49 eV/atom

Unit cell a=6.7842 b=9.5779 c=10.3113 alpha=90.00 beta=91.95 gamma=90.00
Closest atoms and distances in Å follow each position.
Element x y z (fractional)
Sr1 0.0000 0.0630 0.0000  7 O 2.40-2.63
Sr2 0.0000 0.9370 0.5000  7 O 2.40-2.63
Sr3 0.0053 0.4369 0.0683  7 O 2.40-2.64
Sr4 0.0053 0.5631 0.5683  7 O 2.40-2.64
Sr5 0.1820 0.2460 0.3660  5 O 2.48-2.73
Sr6 0.1820 0.7540 0.8660  5 O 2.48-2.73
Sr7 0.3555 0.1014 0.7299  8 O 2.44-2.69
Sr8 0.3555 0.8986 0.2299  8 O 2.44-2.69
Sr9 0.5024 0.2502 0.0340  8 O 2.60-2.78
Sr10 0.5024 0.7498 0.5340  8 O 2.60-2.78
Sr11 0.6498 0.3984 0.3383  8 O 2.44-2.69
Sr12 0.6498 0.6016 0.8383  8 O 2.44-2.69
Sr13 0.8235 0.2543 0.7026  5 O 2.48-2.75
Sr14 0.8235 0.7457 0.2026  5 O 2.48-2.75
Mn1 0.2220 0.4180 0.8133  5 O 1.81-1.99
Mn2 0.2220 0.5820 0.3133  5 O 1.81-1.99
Mn3 0.4269 0.4181 0.6087  6 O 1.81-2.02
Mn4 0.4269 0.5819 0.1087  6 O 1.81-2.02
Mn5 0.5786 0.0818 0.4596  6 O 1.81-2.02
Mn6 0.5786 0.9182 0.9596  6 O 1.81-2.02
Mn7 0.7832 0.0821 0.2548  5 O 1.81-1.99
Mn8 0.7832 0.9179 0.7548  5 O 1.81-1.99
O1 0.0294 0.0042 0.2470  1 Mn 1.83
O2 0.0294 0.9958 0.7470  1 Mn 1.83
O3 0.1624 0.2680 0.9112  1 Mn 1.81
O4 0.1624 0.7320 0.4112  1 Mn 1.81
O5 0.1646 0.3321 0.6492  2 Mn 1.91-2.02
O6 0.1646 0.6679 0.1492  2 Mn 1.91-2.02
O7 0.3174 0.4710 0.4493  2 Mn 1.85-1.86
O8 0.3174 0.5290 0.9493  2 Mn 1.85-1.86
O9 0.3239 0.4234 0.1955  2 Mn 1.91-2.08
O10 0.3239 0.5766 0.6955  2 Mn 1.91-2.08
O11 0.3407 0.0032 0.4871  1 Mn 1.81
O12 0.3407 0.9968 0.9871  1 Mn 1.81
O13 0.4948 0.3513 0.7820  2 Mn 1.94-1.99
O14 0.4948 0.6487 0.2820  2 Mn 1.94-1.99
O15 0.5018 0.2499 0.5338  2 Mn 1.86
O16 0.5018 0.7501 0.0338  2 Mn 1.86
O17 0.5104 0.1484 0.2861  2 Mn 1.94-1.99
O18 0.5104 0.8516 0.7861  2 Mn 1.94-1.99
O19 0.6651 0.4960 0.5815  1 Mn 1.81
O20 0.6651 0.5040 0.0815  1 Mn 1.81
O21 0.6817 0.0767 0.8729  2 Mn 1.91-2.08
O22 0.6817 0.9233 0.3729  2 Mn 1.91-2.08
O23 0.6885 0.0296 0.6191  2 Mn 1.85-1.86
O24 0.6885 0.9704 0.1191  2 Mn 1.85-1.86
O25 0.8404 0.1681 0.4189  2 Mn 1.91-2.02
O26 0.8404 0.8319 0.9189  2 Mn 1.91-2.02
O27 0.8418 0.2319 0.1566  1 Mn 1.81
O28 0.8418 0.7681 0.6566  1 Mn 1.81
O29 0.9762 0.4965 0.8213  1 Mn 1.83
O30 0.9762 0.5035 0.3213  1 Mn 1.83



Record 4
First-principles (GGA-PBEsol) data for a relaxed structure of SrNbBi3, as listed in Alexandria.

Formation energy ... -6 meV/atom
DOS(E_F) ... 0.73 states/eV per atom
ρ ... 7.98 g/cm³
Crystal system ... cubic
Total moment ... 0.0 μB per cell
VASP energy ... -5.11 eV/atom

Unit cell a=5.5174 b=5.5174 c=5.5174 alpha=90.00 beta=90.00 gamma=90.00
Closest atoms and distances in Å follow each position.
Element x y z (fractional)
Sr1 0.0000 0.0000 0.0000  12 Bi 3.90
Nb1 0.5000 0.5000 0.5000  6 Bi 2.76
Bi1 0.0000 0.5000 0.5000  2 Nb 2.76
Bi2 0.5000 0.0000 0.5000  2 Nb 2.76
Bi3 0.5000 0.5000 0.0000  2 Nb 2.76



Record 5
First-principles (GGA-PBEsol) data for a relaxed structure of AlCdIr2, as listed in Alexandria.

Formation energy ... -35 meV/atom
DOS(E_F) ... 1.04 states/eV per atom
ρ ... 13.89 g/cm³
Crystal system ... tetragonal
Total moment ... 0.0 μB per cell
VASP energy ... -6.27 eV/atom

Unit cell a=2.7984 b=2.7984 c=7.9968 alpha=90.00 beta=90.00 gamma=90.00
Closest atoms and distances in Å follow each position.
Element x y z (fractional)
Al1 0.0000 0.0000 0.0000  4 Ir 2.58, 4 Al 2.80
Cd1 0.5000 0.5000 0.2988  4 Cd 2.80, 4 Ir 2.88, 4 Al 3.10
Ir1 0.0000 0.0000 0.5608  8 Ir 2.72-2.80, 4 Cd 2.88
Ir2 0.5000 0.5000 0.7932  4 Al 2.58, 8 Ir 2.72-2.80



Record 6
First-principles (GGA-PBEsol) data for a relaxed structure of Tc3PtSe, as listed in Alexandria.

Energy relative to the elements, uncorrected ... 1216 meV per atom
DOS(E_F) ... 1.00 states/eV per atom
ρ ... 10.96 g/cm³
Crystal system ... cubic
Total moment ... 0.0 μB per cell
VASP energy ... -7.71 eV/atom

Unit cell a=4.4156 b=4.4156 c=4.4156 alpha=90.00 beta=90.00 gamma=90.00
Closest atoms and distances in Å follow each position.
Element x y z (fractional)
Tc1 0.0000 0.0000 0.5000  2 Se 2.21
Tc2 0.0000 0.5000 0.0000  2 Se 2.21
Tc3 0.5000 0.0000 0.0000  2 Se 2.21
Pt1 0.5000 0.5000 0.5000  12 Tc 3.12
Se1 0.0000 0.0000 0.0000  6 Tc 2.21



Record 7
First-principles (GGA-PBEsol) data for a relaxed structure of BaBeOs2, as listed in Alexandria.

Formation energy ... 1405 meV/atom
DOS(E_F) ... 1.07 states/eV per atom
ρ ... 12.52 g/cm³
Crystal system ... orthorhombic
Total moment ... 0.0 μB per cell
VASP energy ... -6.24 eV/atom

Unit cell a=2.8633 b=4.7697 c=5.1151 alpha=90.00 beta=90.00 gamma=90.00
Closest atoms and distances in Å follow each position.
Element x y z (fractional)
Ba1 0.0000 0.0000 0.0000  4 Be 2.78, 2 Ba 2.86, 4 Os 2.93
Be1 0.5000 0.5000 0.0000  4 Ba 2.78, 2 Be 2.86, 4 Os 2.93
Os1 0.0000 0.5000 0.5000  6 Os 2.78-2.86, 4 Be 2.93
Os2 0.5000 0.0000 0.5000  6 Os 2.78-2.86, 4 Ba 2.93



Record 8
First-principles (GGA-PBEsol) data for a relaxed structure of LaRu2Pt, as listed in Alexandria.

Formation energy ... 274 meV/atom
DOS(E_F) ... 1.81 states/eV per atom
ρ ... 12.98 g/cm³
Crystal system ... cubic
Total moment ... 2.2 μB per cell
VASP energy ... -7.89 eV/atom
E above lowest polymorph ... 22.1 kJ/mol of atoms

Unit cell a=4.5952 b=4.5952 c=4.5952 alpha=60.00 beta=60.00 gamma=60.00
Closest atoms and distances in Å follow each position.
Element x y z (fractional)
La1 0.0000 0.0000 0.0000  8 Ru 2.81
Ru1 0.2500 0.2500 0.2500  4 La 2.81, 4 Pt 2.81
Ru2 0.7500 0.7500 0.7500  4 Pt 2.81, 4 La 2.81
Pt1 0.5000 0.5000 0.5000  8 Ru 2.81